No. 1
Compound: MgMn2CoBr
Source: Alexandria
Functional: PBE-GGA
Structure: relaxed

total DFT energy (no corrections) = -26.087 eV/f.u.
space group = P4/mmm, No. 123
E_form (uncorrected) = 525.2 meV/atom
magnetic moment = 1.677 μB/atom

Cell lengths 4.5234, 5.0407, 4.5234 Å; angles 90.00, 90.00, 90.00 degrees
Site moments in Bohr magnetons follow the coordinates.
Atoms (fractional coordinates):
Mn 0.0000 0.0000 0.5000  3.69
Mn 0.5000 0.0000 0.0000  3.68
Br 0.5000 0.5000 0.5000  0.04
Mg 0.0000 0.5000 0.0000  -0.06
Co 0.0000 0.0000 0.0000  0.77

---

No. 2
Compound: MgMnCoBr2
Source: Alexandria
Functional: PBE-GGA
Structure: relaxed

total DFT energy (no corrections) = -18.658 eV/f.u.
space group = P4/mmm, No. 123
E_form (uncorrected) = 511.7 meV/atom
magnetic moment = 0.599 μB/atom

Cell lengths 4.9737, 4.6302, 4.9737 Å; angles 90.00, 90.00, 90.00 degrees
Site moments in Bohr magnetons follow the coordinates.
Atoms (fractional coordinates):
Co 0.0000 0.5000 0.0000  -0.33
Mg 0.5000 0.5000 0.5000  -0.01
Mn 0.0000 0.0000 0.0000  3.21
Br 0.0000 0.0000 0.5000  0.01
Br 0.5000 0.0000 0.0000  0.00

---

> Which formula does entry 1 have?

MgMn2CoBr